# PBE Hf3MoAs, relaxed
data_Hf3MoAs
_chemical_formula_sum 'Hf3 Mo1 As1'
_space_group_name_H-M_alt 'P m -3 m'
_space_group_IT_number 221
_space_group_name_Hall '-P 4 2 3'
_cell_length_a 4.864
_cell_length_b 4.864
_cell_length_c 4.864
_cell_angle_alpha 90.00
_cell_angle_beta 90.00
_cell_angle_gamma 90.00
loop_
_atom_site_label
_atom_site_type_symbol
_atom_site_fract_x
_atom_site_fract_y
_atom_site_fract_z
_atom_site_occupancy
Hf1 Hf 0.000 0.000 0.500 1
Mo1 Mo 0.500 0.500 0.500 1
As1 As 0.000 0.000 0.000 1
# **Energy relative to the lowest polymorph listed for this composition**: 0.000 eV/atom
# **Crystal system**: cubic
# **DOS(E_F)**: 4.540 states/eV/f.u.
# **ΔH_f (0 K)**: 540 meV per atom